NpMn2PbO8 | GGA+U | optimized geometry

abc: 5.8171 5.8171 7.0015
angles: 90.00 90.00 120.00
Closest atoms and distances in Å follow each position.
Atoms (fractional coordinates):
Np  0.0000  0.0000  0.0000  6 O 2.06
Mn  0.3333  0.6667  0.7293  4 O 1.68-1.87
Mn  0.6667  0.3333  0.2707  4 O 1.68-1.87
Pb  0.0000  0.0000  0.5000  6 O 2.70
O  0.1573  0.3146  0.8119  1 Mn 1.87, 1 Np 2.06
O  0.1573  0.8427  0.8119  1 Mn 1.87, 1 Np 2.06
O  0.6854  0.8427  0.8119  1 Mn 1.87, 1 Np 2.06
O  0.3146  0.1573  0.1881  1 Mn 1.87, 1 Np 2.06
O  0.6667  0.3333  0.5112  1 Mn 1.68
O  0.3333  0.6667  0.4888  1 Mn 1.68
O  0.8427  0.6854  0.1881  1 Mn 1.87, 1 Np 2.06
O  0.8427  0.1573  0.1881  1 Mn 1.87, 1 Np 2.06

Calculated values
SG	P-3m1 (164)
calculated volume	17.1	Å³/atom
total energy	-7.45	eV/atom